No. 1
DFT (PBE) results for a relaxed structure of Al2FeSe.

Summary:
Crystal system = tetragonal
Magnetization = 0.475 μB per formula unit
Calculated density = 5.2 g/cm3
SG = I-4m2
Energy relative to the elements, uncorrected = 234 meV/atom

a = 4.723 Å, b = 4.723 Å, c = 4.723 Å
α = 130.13°, β = 130.13°, γ = 73.20°
Atoms (fractional coordinates):
1 Al 0.000 0.000 0.000
2 Al 0.750 0.250 0.500
3 Fe 0.250 0.750 0.500
4 Se 0.500 0.500 0.000

***

No. 2
DFT (PBE) results for a relaxed structure of Al2FeSe.

Summary:
Crystal system = cubic
Magnetization = 0.001 μB per formula unit
Calculated density = 5.3 g/cm3
SG = F-43m
Energy relative to the elements, uncorrected = 300 meV/atom

a = 4.387 Å, b = 4.387 Å, c = 4.387 Å
α = 60.00°, β = 60.00°, γ = 60.00°
Atoms (fractional coordinates):
1 Al 0.000 0.000 0.000
2 Al 0.250 0.250 0.250
3 Fe 0.500 0.500 0.500
4 Se 0.750 0.750 0.750

***

No. 3
DFT (PBE) results for a relaxed structure of AlFeSe.

Summary:
Crystal system = hexagonal
Magnetization = 1.760 μB per formula unit
Calculated density = 5.4 g/cm3
SG = P-6m2
Energy relative to the elements, uncorrected = -20 meV/atom

a = 3.064 Å, b = 3.064 Å, c = 12.347 Å
α = 90.00°, β = 90.00°, γ = 120.00°
Atoms (fractional coordinates):
1 Al 0.000 0.000 0.000
2 Al 0.000 0.000 0.500
3 Fe 0.333 0.667 0.152
4 Fe 0.333 0.667 0.848
5 Se 0.000 0.000 0.277
6 Se 0.000 0.000 0.723

***

No. 4
DFT (PBE) results for a relaxed structure of Al2FeSe.

Summary:
Crystal system = tetragonal
Magnetization = 0.820 μB per formula unit
Calculated density = 5.2 g/cm3
SG = P4/mmm
Energy relative to the elements, uncorrected = 124 meV/atom

a = 4.352 Å, b = 4.352 Å, c = 3.179 Å
α = 90.00°, β = 90.00°, γ = 90.00°
Atoms (fractional coordinates):
1 Al 0.000 0.500 0.000
2 Al 0.500 0.000 0.000
3 Fe 0.000 0.000 0.500
4 Se 0.500 0.500 0.500

***

No. 5
DFT (PBE) results for a relaxed structure of AlFe2Se.

Summary:
Crystal system = tetragonal
Magnetization = 4.692 μB per formula unit
Calculated density = 6.5 g/cm3
SG = I4/mmm
Energy relative to the elements, uncorrected = 204 meV/atom

a = 4.719 Å, b = 4.719 Å, c = 4.719 Å
α = 132.63°, β = 132.63°, γ = 69.24°
Atoms (fractional coordinates):
1 Al 0.000 0.000 0.000
2 Fe 0.250 0.750 0.500
3 Fe 0.750 0.250 0.500
4 Se 0.500 0.500 0.000

***

No. 6
DFT (PBE) results for a relaxed structure of Al2FeSe.

Summary:
Crystal system = monoclinic
Magnetization = 2.210 μB per formula unit
Calculated density = 4.8 g/cm3
SG = P2/m
Energy relative to the elements, uncorrected = 96 meV/atom

a = 4.147 Å, b = 3.328 Å, c = 5.130 Å
α = 90.00°, β = 112.33°, γ = 90.00°
Atoms (fractional coordinates):
1 Al 0.000 0.000 0.000
2 Al 0.000 0.500 0.500
3 Fe 0.500 0.000 0.500
4 Se 0.500 0.500 0.000

***

No. 7
DFT (PBE) results for a relaxed structure of AlFe2Se.

Summary:
Crystal system = cubic
Magnetization = 0.452 μB per formula unit
Calculated density = 7.3 g/cm3
SG = Fm-3m
Energy relative to the elements, uncorrected = 175 meV/atom

a = 4.119 Å, b = 4.119 Å, c = 4.119 Å
α = 60.00°, β = 60.00°, γ = 60.00°
Atoms (fractional coordinates):
1 Al 0.000 0.000 0.000
2 Fe 0.250 0.250 0.250
3 Fe 0.750 0.750 0.750
4 Se 0.500 0.500 0.500

***

No. 8
DFT (PBE) results for a relaxed structure of AlFeSe.

Summary:
Crystal system = hexagonal
Magnetization = 1.747 μB per formula unit
Calculated density = 5.7 g/cm3
SG = P-6m2
Energy relative to the elements, uncorrected = 133 meV/atom

a = 4.045 Å, b = 4.045 Å, c = 3.313 Å
α = 90.00°, β = 90.00°, γ = 120.00°
Atoms (fractional coordinates):
1 Al 0.000 0.000 0.000
2 Fe 0.667 0.333 0.500
3 Se 0.333 0.667 0.500

***

No. 9
DFT (PBE) results for a relaxed structure of Al2FeSe.

Summary:
Crystal system = monoclinic
Magnetization = 0.000 μB per formula unit
Calculated density = 4.6 g/cm3
SG = Cm
Energy relative to the elements, uncorrected = -103 meV/atom

a = 4.608 Å, b = 4.608 Å, c = 5.758 Å
α = 108.31°, β = 108.31°, γ = 36.49°
Atoms (fractional coordinates):
1 Al 0.000 0.000 0.000
2 Al 0.209 0.209 0.689
3 Fe 0.729 0.729 0.033
4 Se 0.351 0.351 0.366

***

No. 10
DFT (PBE) results for a relaxed structure of AlFe3Se.

Summary:
Crystal system = cubic
Magnetization = 7.004 μB per formula unit
Calculated density = 5.3 g/cm3
SG = Pm-3m
Energy relative to the elements, uncorrected = 1039 meV/atom

a = 4.400 Å, b = 4.400 Å, c = 4.400 Å
α = 90.00°, β = 90.00°, γ = 90.00°
Atoms (fractional coordinates):
1 Al 0.000 0.000 0.000
2 Fe 0.000 0.000 0.500
3 Fe 0.000 0.500 0.000
4 Fe 0.500 0.000 0.000
5 Se 0.500 0.500 0.500

***

No. 11
DFT (PBE) results for a relaxed structure of AlFeSe3.

Summary:
Crystal system = cubic
Magnetization = 0.000 μB per formula unit
Calculated density = 5.1 g/cm3
SG = Pm-3m
Energy relative to the elements, uncorrected = 361 meV/atom

a = 4.712 Å, b = 4.712 Å, c = 4.712 Å
α = 90.00°, β = 90.00°, γ = 90.00°
Atoms (fractional coordinates):
1 Al 0.000 0.000 0.000
2 Fe 0.500 0.500 0.500
3 Se 0.000 0.500 0.500
4 Se 0.500 0.000 0.500
5 Se 0.500 0.500 0.000

***

No. 12
DFT (PBE) results for a relaxed structure of Al2FeSe.

Summary:
Crystal system = tetragonal
Magnetization = 0.000 μB per formula unit
Calculated density = 4.9 g/cm3
SG = P4/mmm
Energy relative to the elements, uncorrected = -75 meV/atom

a = 2.847 Å, b = 2.847 Å, c = 7.909 Å
α = 90.00°, β = 90.00°, γ = 90.00°
Atoms (fractional coordinates):
1 Al 0.000 0.000 0.176
2 Al 0.000 0.000 0.824
3 Fe 0.500 0.500 0.000
4 Se 0.500 0.500 0.500